No. 1
# TaSb2Cl meta-GGA SCAN single point on PBEsol structure
data_TaSb2Cl
_cell_length_a 6.985
_cell_length_b 6.985
_cell_length_c 6.985
_cell_angle_alpha 90.00
_cell_angle_beta 90.00
_cell_angle_gamma 90.00
_symmetry_space_group_name_H-M 'F m -3 m'
_symmetry_Int_Tables_number 225
_symmetry_space_group_name_Hall '-F 4 2 3'
loop_
_atom_site_label
_atom_site_type_symbol
_atom_site_fract_x
_atom_site_fract_y
_atom_site_fract_z
Ta1 Ta 0.000 0.000 0.000
Sb1 Sb 0.250 0.250 0.250
Cl1 Cl 0.000 0.000 0.500
# Magnetization: 0.000 Bohr magnetons per cell
# Formation energy without anion corrections: 0.4973 eV per atom
# Relative energy among the computed polymorphs: 0.669 eV per atom

No. 2
# KBaP2 meta-GGA SCAN single point on PBEsol structure
data_KBaP2
_cell_length_a 7.593
_cell_length_b 7.593
_cell_length_c 7.593
_cell_angle_alpha 90.00
_cell_angle_beta 90.00
_cell_angle_gamma 90.00
_symmetry_space_group_name_H-M 'F m -3 m'
_symmetry_Int_Tables_number 225
_symmetry_space_group_name_Hall '-F 4 2 3'
loop_
_atom_site_label
_atom_site_type_symbol
_atom_site_fract_x
_atom_site_fract_y
_atom_site_fract_z
K1 K 0.000 0.000 0.000
Ba1 Ba 0.000 0.000 0.500
P1 P 0.250 0.250 0.250
# Magnetization: 0.001 Bohr magnetons per cell
# Formation energy: -238 meV/atom
# Relative energy among the computed polymorphs: 0.527 eV per atom

No. 3
# YIr2Br2 meta-GGA SCAN single point on PBEsol structure
data_YIr2Br2
_cell_length_a 4.237
_cell_length_b 4.237
_cell_length_c 11.448
_cell_angle_alpha 90.00
_cell_angle_beta 90.00
_cell_angle_gamma 90.00
_symmetry_space_group_name_H-M 'I 4/m m m'
_symmetry_Int_Tables_number 139
_symmetry_space_group_name_Hall '-I 4 2'
loop_
_atom_site_label
_atom_site_type_symbol
_atom_site_fract_x
_atom_site_fract_y
_atom_site_fract_z
Y1 Y 0.000 0.000 0.000
Ir1 Ir 0.000 0.000 0.397
Br1 Br 0.000 0.500 0.250
# Magnetization: 0.000 Bohr magnetons per cell
# Formation energy without anion corrections: 0.1506 eV per atom

No. 4
# BeZn2Ru meta-GGA SCAN single point on PBEsol structure
data_BeZn2Ru
_cell_length_a 2.590
_cell_length_b 3.782
_cell_length_c 5.043
_cell_angle_alpha 90.00
_cell_angle_beta 90.00
_cell_angle_gamma 90.00
_symmetry_space_group_name_H-M 'P m m m'
_symmetry_Int_Tables_number 47
_symmetry_space_group_name_Hall '-P 2 2'
loop_
_atom_site_label
_atom_site_type_symbol
_atom_site_fract_x
_atom_site_fract_y
_atom_site_fract_z
Be1 Be 0.000 0.000 0.000
Zn1 Zn 0.500 0.500 0.244
Ru1 Ru 0.000 0.000 0.500
# Magnetization: 0.004 Bohr magnetons per cell
# Formation energy: 54 meV/atom

No. 5
# CaFe2N meta-GGA SCAN single point on PBEsol structure
data_CaFe2N
_cell_length_a 5.769
_cell_length_b 5.769
_cell_length_c 5.769
_cell_angle_alpha 90.00
_cell_angle_beta 90.00
_cell_angle_gamma 90.00
_symmetry_space_group_name_H-M 'F m -3 m'
_symmetry_Int_Tables_number 225
_symmetry_space_group_name_Hall '-F 4 2 3'
loop_
_atom_site_label
_atom_site_type_symbol
_atom_site_fract_x
_atom_site_fract_y
_atom_site_fract_z
Ca1 Ca 0.000 0.000 0.000
Fe1 Fe 0.250 0.250 0.250
N1 N 0.000 0.000 0.500
# Magnetization: 21.083 Bohr magnetons per cell
# Formation energy without anion corrections: 1.4368 eV per atom

No. 6
# CsCuO2 meta-GGA SCAN single point on PBEsol structure
data_CsCuO2
_cell_length_a 3.2706
_cell_length_b 3.2706
_cell_length_c 20.7324
_cell_angle_alpha 90.00
_cell_angle_beta 90.00
_cell_angle_gamma 120.00
_symmetry_space_group_name_H-M 'R -3 m'
_symmetry_Int_Tables_number 166
_symmetry_space_group_name_Hall '-R 3 2"'
loop_
_atom_site_label
_atom_site_type_symbol
_atom_site_fract_x
_atom_site_fract_y
_atom_site_fract_z
Cs1 Cs 0.0000 0.0000 0.0000
Cu1 Cu 0.0000 0.0000 0.5000
O1 O 0.0000 0.0000 0.1233
# Magnetization: 6.000 Bohr magnetons per cell
# Formation energy without anion corrections: -0.4279 eV per atom

No. 7
# ReNi2W meta-GGA SCAN single point on PBEsol structure
data_ReNi2W
_cell_length_a 5.192
_cell_length_b 7.547
_cell_length_c 2.599
_cell_angle_alpha 90.00
_cell_angle_beta 90.00
_cell_angle_gamma 90.00
_symmetry_space_group_name_H-M 'C m m m'
_symmetry_Int_Tables_number 65
_symmetry_space_group_name_Hall '-C 2 2'
loop_
_atom_site_label
_atom_site_type_symbol
_atom_site_fract_x
_atom_site_fract_y
_atom_site_fract_z
Re1 Re 0.000 0.000 0.000
Ni1 Ni 0.250 0.250 0.500
W1 W 0.000 0.500 0.000
# Magnetization: 0.001 Bohr magnetons per cell
# Formation energy: 85 meV/atom

No. 8
# Tl2TcPb meta-GGA SCAN single point on PBEsol structure
data_Tl2TcPb
_cell_length_a 3.1905
_cell_length_b 3.1905
_cell_length_c 31.2324
_cell_angle_alpha 90.00
_cell_angle_beta 90.00
_cell_angle_gamma 120.00
_symmetry_space_group_name_H-M 'R -3 m'
_symmetry_Int_Tables_number 166
_symmetry_space_group_name_Hall '-R 3 2"'
loop_
_atom_site_label
_atom_site_type_symbol
_atom_site_fract_x
_atom_site_fract_y
_atom_site_fract_z
Tl1 Tl 0.0000 0.0000 0.2375
Tc1 Tc 0.0000 0.0000 0.5000
Pb1 Pb 0.0000 0.0000 0.0000
# Magnetization: 4.502 Bohr magnetons per cell
# Formation energy: 619 meV/atom

No. 9
# LaSiRu2 meta-GGA SCAN single point on PBEsol structure
data_LaSiRu2
_cell_length_a 6.055
_cell_length_b 8.497
_cell_length_c 2.962
_cell_angle_alpha 90.00
_cell_angle_beta 118.38
_cell_angle_gamma 90.00
_symmetry_space_group_name_H-M 'C 1 2/m 1'
_symmetry_Int_Tables_number 12
_symmetry_space_group_name_Hall '-C 2y'
loop_
_atom_site_label
_atom_site_type_symbol
_atom_site_fract_x
_atom_site_fract_y
_atom_site_fract_z
La1 La 0.000 0.000 0.000
Si1 Si 0.000 0.500 0.000
Ru1 Ru 0.250 0.250 0.500
# Magnetization: 0.000 Bohr magnetons per cell
# Formation energy without anion corrections: 0.1301 eV per atom

No. 10
# TcWAu2 meta-GGA SCAN single point on PBEsol structure
data_TcWAu2
_cell_length_a 6.340
_cell_length_b 6.340
_cell_length_c 6.340
_cell_angle_alpha 90.00
_cell_angle_beta 90.00
_cell_angle_gamma 90.00
_symmetry_space_group_name_H-M 'F -4 3 m'
_symmetry_Int_Tables_number 216
_symmetry_space_group_name_Hall 'F -4 2 3'
loop_
_atom_site_label
_atom_site_type_symbol
_atom_site_fract_x
_atom_site_fract_y
_atom_site_fract_z
Tc1 Tc 0.000 0.000 0.000
W1 W 0.250 0.250 0.750
Au1 Au 0.000 0.000 0.500
Au2 Au 0.250 0.250 0.250
# Magnetization: 0.001 Bohr magnetons per cell
# Formation energy: 530 meV/atom
# Relative energy among the computed polymorphs: 0.322 eV per atom